Material: TbPrMnIn
Method: DFT, PBE-GGA
State: optimized geometry Values from VASP.

Cell and atoms, written as Quantum ESPRESSO input:
```
&SYSTEM
  ibrav = 0, nat = 4, ntyp = 4
/
ATOMIC_SPECIES
Pr 140.91 Pr.upf
In 114.82 In.upf
Mn 54.94 Mn.upf
Tb 158.93 Tb.upf
ATOMIC_POSITIONS crystal
Pr 0.0000 0.0000 0.0000
In 0.7500 0.7500 0.7500
Mn 0.2500 0.2500 0.2500
Tb 0.5000 0.5000 0.5000
CELL_PARAMETERS angstrom
-3.2916 4.1741 0.1441
-1.8103 2.1163 -4.5302
-5.1073 -0.5932 -1.3574
```

Calculated values
Fermi-level density of states = 4.53 states/eV/cell
Calculated formation energy = -67.0 meV per atom

Material: IrAuSe
Method: DFT, PBE-GGA
State: optimized geometry Values from VASP.

Cell and atoms, written as Quantum ESPRESSO input:
```
&SYSTEM
  ibrav = 0, nat = 3, ntyp = 3
/
ATOMIC_SPECIES
Au 196.97 Au.upf
Ir 192.22 Ir.upf
Se 78.96 Se.upf
ATOMIC_POSITIONS crystal
Au 0.9822 0.9822 0.0000
Ir 0.3155 0.3155 0.0000
Se 0.7022 0.7022 0.0000
CELL_PARAMETERS angstrom
-4.4375 4.4583 -1.2954
-5.5778 2.2962 2.2046
6.0645 -1.9733 0.7570
```

Calculated values
Fermi-level density of states = 1.93 states/eV/cell
Polymorph energy (0 for the lowest one) = 193 meV/atom
Formation energy (no corrections) = 0.30 eV/atom

Material: Ac8HOs3Cl4
Method: DFT, PBE-GGA
State: optimized geometry Values from VASP.

Cell and atoms, written as Quantum ESPRESSO input:
```
&SYSTEM
  ibrav = 0, nat = 16, ntyp = 4
/
ATOMIC_SPECIES
Cl 35.45 Cl.upf
Ac 227.00 Ac.upf
Os 190.23 Os.upf
H 1.01 H.upf
ATOMIC_POSITIONS crystal
Cl 0.5000 0.0000 0.5000
Ac 0.7638 0.2990 0.0348
Ac 0.2362 0.7010 0.4723
Ac 0.2362 0.7010 0.9652
Os 0.5000 0.5000 0.5000
Ac 0.2640 0.2924 0.5280
Os 0.5000 0.5000 0.0000
Cl 0.0000 0.0000 0.0000
H 0.0000 0.5000 0.0000
Ac 0.2710 0.2990 0.0348
Cl 0.0000 0.0000 0.5000
Ac 0.7290 0.7010 0.9652
Ac 0.7360 0.7076 0.4720
Ac 0.7638 0.2990 0.5277
Cl 0.5000 0.0000 0.0000
Os 0.0000 0.5000 0.5000
CELL_PARAMETERS angstrom
-3.3904 7.3051 -2.7824
-7.4521 -4.7087 -3.2821
1.8478 -0.9653 8.2608
```

Calculated values
Fermi-level density of states = 4.32 states/eV/cell
VASP energy = -91.2 eV/f.u.

Material: CaHgAs3
Method: DFT, PBE-GGA
State: optimized geometry Values from VASP.

Cell and atoms, written as Quantum ESPRESSO input:
```
&SYSTEM
  ibrav = 0, nat = 5, ntyp = 3
/
ATOMIC_SPECIES
Ca 40.08 Ca.upf
Hg 200.59 Hg.upf
As 74.92 As.upf
ATOMIC_POSITIONS crystal
Ca 0.0000 0.0000 0.0000
Hg 0.5000 0.5000 0.5000
As 0.0000 0.5000 0.0000
As 0.5000 0.0000 0.0000
As 0.0000 0.0000 0.5000
CELL_PARAMETERS angstrom
-4.3935 -1.3305 -2.8288
-2.3808 -1.7380 4.5151
-2.0259 4.9279 0.8286
```

Calculated values
Fermi-level density of states = 3.03 states/eV/cell
Calculated formation energy = 703.6 meV per atom
Polymorph energy (0 for the lowest one) = 328 meV/atom

Material: YTiHg2
Method: DFT, PBE-GGA
State: optimized geometry Values from VASP.

Cell and atoms, written as Quantum ESPRESSO input:
```
&SYSTEM
  ibrav = 0, nat = 4, ntyp = 3
/
ATOMIC_SPECIES
Ti 47.87 Ti.upf
Hg 200.59 Hg.upf
Y 88.91 Y.upf
ATOMIC_POSITIONS crystal
Ti 0.5000 0.5000 0.0000
Hg 0.0000 0.0000 0.7785
Y 0.5000 0.5000 0.5000
Hg 0.0000 0.0000 0.2215
CELL_PARAMETERS angstrom
3.5484 0.0000 0.0000
0.0000 3.5484 0.0000
0.0000 0.0000 7.0908
```

Calculated values
Fermi-level density of states = 3.52 states/eV/cell
Calculated formation energy = -199.1 meV per atom
Polymorph energy (0 for the lowest one) = 0 meV/atom

Material: CrSnPt
Method: DFT, PBE-GGA
State: optimized geometry Values from VASP.

Cell and atoms, written as Quantum ESPRESSO input:
```
&SYSTEM
  ibrav = 0, nat = 12, ntyp = 3
/
ATOMIC_SPECIES
Sn 118.71 Sn.upf
Cr 52.00 Cr.upf
Pt 195.08 Pt.upf
ATOMIC_POSITIONS crystal
Sn 0.4173 0.0000 0.2630
Sn 0.8028 0.5000 0.2258
Cr 0.1411 0.0000 0.5048
Cr 0.2172 0.5000 0.3640
Pt 0.0002 0.5000 0.6247
Pt 0.6012 0.5000 0.4915
Pt 0.0002 0.0000 0.1247
Pt 0.6012 0.0000 0.9915
Cr 0.1411 0.5000 0.0048
Sn 0.4173 0.5000 0.7630
Cr 0.2172 0.0000 0.8640
Sn 0.8028 0.0000 0.7258
CELL_PARAMETERS angstrom
-5.2449 5.3180 0.0608
-1.0884 -1.0280 -3.9712
-2.9092 -6.3218 2.4339
```

Calculated values
Fermi-level density of states = 6.76 states/eV/cell
Calculated formation energy = -150.0 meV per atom

> Number 6 is which compound?

CrSnPt

What did the third record say?
Material: Ac8HOs3Cl4
Method: DFT, PBE-GGA
State: optimized geometry Values from VASP.

Cell and atoms, written as Quantum ESPRESSO input:
```
&SYSTEM
  ibrav = 0, nat = 16, ntyp = 4
/
ATOMIC_SPECIES
Cl 35.45 Cl.upf
Ac 227.00 Ac.upf
Os 190.23 Os.upf
H 1.01 H.upf
ATOMIC_POSITIONS crystal
Cl 0.5000 0.0000 0.5000
Ac 0.7638 0.2990 0.0348
Ac 0.2362 0.7010 0.4723
Ac 0.2362 0.7010 0.9652
Os 0.5000 0.5000 0.5000
Ac 0.2640 0.2924 0.5280
Os 0.5000 0.5000 0.0000
Cl 0.0000 0.0000 0.0000
H 0.0000 0.5000 0.0000
Ac 0.2710 0.2990 0.0348
Cl 0.0000 0.0000 0.5000
Ac 0.7290 0.7010 0.9652
Ac 0.7360 0.7076 0.4720
Ac 0.7638 0.2990 0.5277
Cl 0.5000 0.0000 0.0000
Os 0.0000 0.5000 0.5000
CELL_PARAMETERS angstrom
-3.3904 7.3051 -2.7824
-7.4521 -4.7087 -3.2821
1.8478 -0.9653 8.2608
```

Calculated values
Fermi-level density of states = 4.32 states/eV/cell
VASP energy = -91.2 eV/f.u.

> Among the records above, which one has the highest Fermi-level density of states?

CrSnPt